VASP calculation (GGA-PBEsol) on a geometry-optimized YNiPb3 structure.

Unit cell a=5.721 b=5.721 c=5.721 alpha=90.00 beta=90.00 gamma=90.00
Positions (direct):
Ni  0.500  0.500  0.500
Y  0.000  0.000  0.000
Pb  0.500  0.000  0.000
Pb  0.000  0.000  0.500
Pb  0.000  0.500  0.000

Calculated values
Density of states at the Fermi level = 11.10 states/eV/cell
Magnetic moment = 1.0 μB/cell
Energy = -0.13961 hartree per atom
Formation energy from the elements = 1.196 eV per atom

VASP calculation (GGA-PBEsol) on a geometry-optimized YNiPb2 structure.

Unit cell a=4.340 b=4.340 c=5.668 alpha=112.51 beta=112.51 gamma=90.00
Positions (direct):
Ni  0.250  0.750  0.500
Y  0.500  0.500  0.000
Pb  0.750  0.250  0.500
Pb  0.000  0.000  0.000

Calculated values
Density of states at the Fermi level = 2.24 states/eV/cell
Magnetic moment = 0.0 μB/cell
Polymorph energy (0 for the lowest one) = 0.000 eV/atom
Energy = -0.19607 hartree per atom
Formation energy from the elements = -0.091 eV per atom

VASP calculation (GGA-PBEsol) on a geometry-optimized YNiPb2 structure.

Unit cell a=3.416 b=3.416 c=7.529 alpha=90.00 beta=90.00 gamma=95.97
Positions (direct):
Y  0.500  0.500  0.500
Ni  0.500  0.500  0.000
Pb  0.000  0.000  0.206
Pb  0.000  0.000  0.794

Calculated values
Density of states at the Fermi level = 3.57 states/eV/cell
Magnetic moment = 0.0 μB/cell
Polymorph energy (0 for the lowest one) = 0.025 eV/atom
Energy = -0.19515 hartree per atom
Formation energy from the elements = -0.066 eV per atom

Among the records above, which one has the lowest energy?
number 2